(1)
PmYSi2Pd5 after structural relaxation, computed with PBE-GGA.

Lattice parameters (Å, degrees): 4.2082 4.2082 9.0279 90.00 90.00 90.00
Last column: nearest neighbours and their distance in Å.
Space group P4/mmm (No. 123)
One atom of each set of equivalent atoms:
Pm1 0.0000 0.0000 0.0000 x1  12 Pd 2.98-2.99
Y1 0.0000 0.0000 0.5000 x1  8 Pd 3.18, 8 Si 3.20
Si1 0.5000 0.5000 0.3694 x2  1 Si 2.36, 4 Pd 2.43
Pd1 0.0000 0.5000 0.2354 x4  2 Si 2.43
Pd2 0.5000 0.5000 0.0000 x1  4 Pm 2.98, 8 Pd 2.99

As for the calculated density: 8.5 g/cm3.

(2)
CsZrI6 after structural relaxation, computed with PBE-GGA.

Lattice parameters (Å, degrees): 9.4252 10.8935 7.7231 90.00 104.18 90.00
Last column: nearest neighbours and their distance in Å.
Space group C2/m (No. 12)
One atom of each set of equivalent atoms:
Cs1 0.0000 0.0000 0.0000 x2  10 I 4.11-4.19
Zr1 0.0000 0.5000 0.5000 x2  6 I 2.87
I1 0.1186 0.3162 0.7613 x8  1 Zr 2.87
I2 0.2311 0.0000 0.6128 x4  1 Zr 2.87

As for the calculated density: 4.3 g/cm3.

Asked for total magnetic moment across the records above, the calculation gives 0.000 0.000 μB/atom in order.
Asked for E across the records above, the calculation gives -6.25 -3.23 eV/atom in order.
Asked for DOS at the Fermi energy across the records above, the calculation gives 0.333 1.136 states/eV/atom in order.